No. 1
Th2MgNi5 | PBE-GGA | relaxed

## Properties
Total DFT energy (no corrections) = -5.918 eV per atom
Crystal system = monoclinic
D(E_F) = 11.22 states/eV per cell

```
16
Lattice="7.357 0.000 0.000 0.000 8.652 0.000 -3.485 0.000 4.372" Properties=species:S:1:pos:R:3 pbc="T T T"
Th 0.000 2.126 0.000
Th 0.000 6.527 0.000
Th 3.679 2.200 0.000
Th 3.679 6.452 0.000
Mg -1.204 0.000 2.259
Mg 2.474 4.326 2.259
Ni -1.756 4.326 4.036
Ni -0.063 4.326 2.135
Ni 1.778 0.000 0.467
Ni 1.832 1.744 2.205
Ni 1.832 6.909 2.205
Ni 1.923 0.000 4.036
Ni 3.616 0.000 2.135
Ni 5.457 4.326 0.467
Ni 5.511 2.582 2.205
Ni 5.511 6.070 2.205
```

***

No. 2
Al7Ag | PBE-GGA | relaxed

## Properties
Total DFT energy (no corrections) = -3.628 eV per atom
Crystal system = tetragonal
Relative energy among the computed polymorphs = 14.5 meV per atom
D(E_F) = 5.28 states/eV per cell

```
16
Lattice="4.077 0.000 0.000 0.000 4.077 0.000 0.000 0.000 16.061" Properties=species:S:1:pos:R:3 pbc="T T T"
Al 0.000 0.000 0.000
Al 0.000 0.000 3.990
Al 0.000 0.000 12.071
Al 0.000 2.039 2.043
Al 0.000 2.039 5.987
Al 0.000 2.039 10.073
Al 0.000 2.039 14.018
Al 2.039 0.000 2.043
Al 2.039 0.000 5.987
Al 2.039 0.000 10.073
Al 2.039 0.000 14.018
Al 2.039 2.039 4.041
Al 2.039 2.039 8.030
Al 2.039 2.039 12.020
Ag 0.000 0.000 8.030
Ag 2.039 2.039 0.000
```

***

No. 3
TaFeNi3 | PBE-GGA | relaxed

## Properties
Total DFT energy (no corrections) = -6.543 eV per atom
Crystal system = cubic
Relative energy among the computed polymorphs = 0.0 meV per atom
D(E_F) = 9.73 states/eV per cell

```
5
Lattice="4.200 0.000 0.000 0.000 4.200 0.000 0.000 0.000 4.200" Properties=species:S:1:pos:R:3 pbc="T T T"
Ta 0.000 0.000 0.000
Fe 2.100 2.100 2.100
Ni 0.000 2.100 2.100
Ni 2.100 0.000 2.100
Ni 2.100 2.100 0.000
```

***

No. 4
Sr5I5N2 | PBE-GGA | relaxed

## Properties
Total DFT energy (no corrections) = -3.949 eV per atom
Crystal system = monoclinic
Energy relative to the elements, uncorrected = -1.21 eV per atom

```
12
Lattice="8.935 -2.154 0.000 8.935 2.154 0.000 -2.974 0.000 10.808" Properties=species:S:1:pos:R:3 pbc="T T T"
Sr 0.000 0.000 0.000
Sr -0.556 0.000 7.966
Sr 4.852 0.000 7.673
Sr 10.045 0.000 3.135
Sr 15.452 0.000 2.842
I 3.900 0.000 3.710
I 6.332 0.000 0.122
I 7.448 0.000 5.404
I 8.564 0.000 10.686
I 10.996 0.000 7.098
N -0.044 0.000 2.401
N 14.940 0.000 8.407
```

***

No. 5
YCr2Rh | PBE-GGA | relaxed

## Properties
Total DFT energy (no corrections) = -7.957 eV per atom
Crystal system = monoclinic
Relative energy among the computed polymorphs = 242.8 meV per atom
D(E_F) = 4.18 states/eV per cell

```
4
Lattice="2.875 0.000 0.000 0.000 4.435 0.000 -1.237 0.000 5.390" Properties=species:S:1:pos:R:3 pbc="T T T"
Y 0.000 0.000 0.000
Cr 0.461 2.217 3.584
Cr 1.177 2.217 1.806
Rh -0.619 0.000 2.695
```

***

No. 6
Ba2CoAu | PBE-GGA | relaxed

## Properties
Total DFT energy (no corrections) = -3.451 eV per atom
Crystal system = trigonal
Relative energy among the computed polymorphs = 186.1 meV per atom
D(E_F) = 16.07 states/eV per cell

```
12
Lattice="4.553 0.000 0.000 -2.277 3.943 0.000 0.000 0.000 23.834" Properties=species:S:1:pos:R:3 pbc="T T T"
Ba 0.000 0.000 5.838
Ba 0.000 0.000 17.996
Ba 0.000 2.629 10.052
Ba 0.000 2.629 21.727
Ba 2.277 1.314 2.107
Ba 2.277 1.314 13.782
Co 0.000 0.000 11.917
Co 0.000 2.629 3.972
Co 2.277 1.314 19.862
Au 0.000 0.000 0.000
Au 0.000 2.629 15.889
Au 2.277 1.314 7.945
```

***

No. 7
Dy6Tc2Pd | PBE-GGA | relaxed

## Properties
Total DFT energy (no corrections) = -6.165 eV per atom
Crystal system = orthorhombic
D(E_F) = 18.73 states/eV per cell

```
18
Lattice="-4.707 4.798 4.999 4.707 -4.798 4.999 4.707 4.798 -4.999" Properties=species:S:1:pos:R:3 pbc="T T T"
Dy 4.707 -2.818 3.192
Dy 2.839 0.000 2.350
Dy 6.575 0.000 2.350
Dy 2.969 2.651 0.000
Dy 6.444 2.651 0.000
Dy 0.000 1.980 1.808
Dy 4.707 2.818 3.192
Dy -1.738 2.147 4.999
Dy 1.738 2.147 4.999
Dy -1.868 4.798 2.649
Dy 1.868 4.798 2.649
Dy 0.000 7.616 1.808
Tc 1.260 0.000 0.000
Tc 8.154 0.000 0.000
Tc 0.000 0.000 3.814
Tc 0.000 0.000 6.185
Pd 4.707 0.000 0.000
Pd 0.000 4.798 0.000
```

***

No. 8
RbLi3Hf | PBE-GGA | relaxed

## Properties
Total DFT energy (no corrections) = -2.312 eV per atom
Crystal system = cubic
Relative energy among the computed polymorphs = 0.0 meV per atom
D(E_F) = 8.06 states/eV per cell

```
5
Lattice="5.793 0.000 0.000 0.000 5.793 0.000 0.000 0.000 5.793" Properties=species:S:1:pos:R:3 pbc="T T T"
Rb 0.000 0.000 0.000
Li 0.000 2.897 2.897
Li 2.897 0.000 2.897
Li 2.897 2.897 0.000
Hf 2.897 2.897 2.897
```

***

No. 9
Nd3Sn3Ir2 | PBE-GGA | relaxed

## Properties
Total DFT energy (no corrections) = -6.229 eV per atom
Crystal system = orthorhombic
D(E_F) = 25.32 states/eV per cell

```
32
Lattice="8.521 0.000 0.000 0.000 15.611 0.000 0.000 0.000 6.006" Properties=species:S:1:pos:R:3 pbc="T T T"
Nd 0.287 1.743 0.662
Nd 0.287 6.062 0.662
Nd 1.469 3.903 3.817
Nd 2.792 11.708 0.814
Nd 3.974 9.549 3.665
Nd 3.974 13.868 3.665
Nd 4.548 1.743 2.341
Nd 4.548 6.062 2.341
Nd 5.729 3.903 5.192
Nd 7.053 11.708 2.189
Nd 8.234 9.549 5.343
Nd 8.234 13.868 5.343
Sn 1.495 11.708 3.730
Sn 1.583 0.533 3.679
Sn 1.583 7.273 3.679
Sn 2.677 8.338 0.676
Sn 2.677 15.078 0.676
Sn 2.766 3.903 0.727
Sn 5.755 11.708 5.279
Sn 5.844 0.533 5.330
Sn 5.844 7.273 5.330
Sn 6.938 8.338 2.327
Sn 6.938 15.078 2.327
Sn 7.027 3.903 2.276
Ir 0.798 9.522 2.207
Ir 0.798 13.895 2.207
Ir 3.463 1.716 5.209
Ir 3.463 6.089 5.209
Ir 5.059 9.522 0.796
Ir 5.059 13.895 0.796
Ir 7.723 1.716 3.799
Ir 7.723 6.089 3.799
```

***

No. 10
K3CrI6 | PBE-GGA | relaxed

## Properties
Total DFT energy (no corrections) = -3.230 eV per atom
Crystal system = trigonal
Energy relative to the elements, uncorrected = -1.01 eV per atom

```
20
Lattice="6.819 3.937 5.649 -6.819 3.937 5.649 0.000 -7.874 5.649" Properties=species:S:1:pos:R:3 pbc="T T T"
K -3.533 -3.222 7.788
K -4.557 1.449 9.159
K 1.024 -4.671 9.159
K -1.024 4.671 7.788
K 4.557 -1.449 7.788
K 3.533 3.222 9.159
Cr 0.000 0.000 0.000
Cr 0.000 0.000 8.473
I -6.151 -1.766 9.702
I -1.547 -6.210 7.244
I -2.273 -0.009 6.867
I -4.605 4.444 7.244
I 1.144 -1.964 6.867
I -1.128 -1.973 10.080
I 1.128 1.973 6.867
I -1.144 1.964 10.080
I 4.605 -4.444 9.702
I 2.273 0.009 10.080
I 1.547 6.210 9.702
I 6.151 1.766 7.244
```

***

No. 11
BaV2Bi | PBE-GGA | relaxed

## Properties
Total DFT energy (no corrections) = -5.343 eV per atom
Crystal system = tetragonal
D(E_F) = 29.73 states/eV per cell

```
16
Lattice="4.941 0.000 0.000 0.000 4.941 0.000 0.000 0.000 20.019" Properties=species:S:1:pos:R:3 pbc="T T T"
Ba 0.000 1.235 7.507
Ba 0.000 3.706 12.512
Ba 2.471 1.235 2.502
Ba 2.471 3.706 17.517
V 0.000 0.000 0.000
V 0.000 2.471 0.000
V 1.235 1.235 15.014
V 1.235 3.706 5.005
V 2.471 0.000 10.010
V 2.471 2.471 10.010
V 3.706 1.235 15.014
V 3.706 3.706 5.005
Bi 0.000 1.235 17.517
Bi 0.000 3.706 2.502
Bi 2.471 1.235 12.512
Bi 2.471 3.706 7.507
```

***

No. 12
TbTi2Se4 | PBE-GGA | relaxed

## Properties
Total DFT energy (no corrections) = -6.207 eV per atom
Crystal system = orthorhombic
Energy relative to the elements, uncorrected = -1.30 eV per atom
D(E_F) = 10.21 states/eV per cell

```
14
Lattice="1.905 -6.142 0.000 1.905 6.142 0.000 0.000 0.000 13.120" Properties=species:S:1:pos:R:3 pbc="T T T"
Tb 1.905 4.546 9.840
Tb 1.905 -4.546 3.280
Ti 1.905 1.481 7.395
Ti 1.905 1.481 12.285
Ti 1.905 -1.481 0.835
Ti 1.905 -1.481 5.725
Se 0.000 0.000 0.000
Se 0.000 0.000 6.560
Se 1.905 2.831 1.460
Se 1.905 2.831 5.100
Se 1.905 0.552 9.840
Se 1.905 -0.552 3.280
Se 1.905 -2.831 8.020
Se 1.905 -2.831 11.660
```

***

No. 13
ErNi6Ge2 | PBE-GGA | relaxed

## Properties
Total DFT energy (no corrections) = -5.690 eV per atom
Crystal system = tetragonal
D(E_F) = 13.28 states/eV per cell

```
9
Lattice="3.979 0.000 0.000 0.000 3.979 0.000 0.000 0.000 7.816" Properties=species:S:1:pos:R:3 pbc="T T T"
Er 0.000 0.000 0.000
Ni 0.000 0.000 3.908
Ni 0.000 1.989 2.452
Ni 0.000 1.989 5.364
Ni 1.989 0.000 2.452
Ni 1.989 0.000 5.364
Ni 1.989 1.989 3.908
Ge 1.989 1.989 1.258
Ge 1.989 1.989 6.559
```

***

No. 14
Cu2Ni2Sn | PBE-GGA | relaxed

## Properties
Total DFT energy (no corrections) = -4.791 eV per atom
Crystal system = orthorhombic
Relative energy among the computed polymorphs = 0.0 meV per atom
D(E_F) = 5.21 states/eV per cell

```
10
Lattice="-2.132 2.671 5.961 2.132 -2.671 5.961 2.132 2.671 -5.961" Properties=species:S:1:pos:R:3 pbc="T T T"
Cu 0.000 1.336 0.083
Cu 2.132 1.336 1.560
Cu 0.000 1.336 4.401
Cu 2.132 1.336 5.878
Ni 0.000 0.047 2.206
Ni 2.132 0.047 3.756
Ni 0.000 2.624 2.206
Ni 2.132 2.624 3.756
Sn 2.132 1.336 -1.453
Sn 0.000 1.336 7.414
```

***

No. 15
Rb4Nd3US8 | PBE-GGA | relaxed

## Properties
Total DFT energy (no corrections) = -5.599 eV per atom
Crystal system = trigonal
Energy relative to the elements, uncorrected = -1.69 eV per atom
D(E_F) = 9.04 states/eV per cell

```
16
Lattice="4.198 2.424 7.714 -4.198 2.424 7.714 0.000 -4.847 7.714" Properties=species:S:1:pos:R:3 pbc="T T T"
Rb 0.000 0.000 0.000
Rb -2.099 -1.212 7.714
Rb -2.099 1.212 15.429
Rb 0.000 2.423 7.714
Nd -4.198 0.000 11.571
Nd -2.099 1.212 3.857
Nd 2.099 1.212 3.857
U 0.000 0.000 11.571
S 0.000 0.000 5.393
S -2.049 -1.183 13.079
S 0.000 -2.366 10.064
S -2.049 1.183 10.064
S 2.049 -1.183 13.079
S 0.000 2.366 13.079
S 2.049 1.183 10.064
S 0.000 0.000 17.750
```

***

No. 16
Y2Ga4CuPd3 | PBE-GGA | relaxed

## Properties
Total DFT energy (no corrections) = -5.170 eV per atom
Crystal system = tetragonal
D(E_F) = 5.57 states/eV per cell

```
10
Lattice="4.036 0.000 0.000 0.000 4.036 0.000 0.000 0.000 11.334" Properties=species:S:1:pos:R:3 pbc="T T T"
Y 0.000 2.018 2.793
Y 2.018 0.000 8.541
Ga 0.000 0.000 5.667
Ga 0.000 2.018 9.827
Ga 2.018 0.000 1.507
Ga 2.018 2.018 5.667
Cu 2.018 2.018 0.000
Pd 0.000 0.000 0.000
Pd 0.000 2.018 7.312
Pd 2.018 0.000 4.022
```

***

No. 17
SrCoSb | PBE-GGA | relaxed

## Properties
Total DFT energy (no corrections) = -4.748 eV per atom
Crystal system = tetragonal
Energy relative to the elements, uncorrected = -0.44 eV per atom
D(E_F) = 5.31 states/eV per cell

```
6
Lattice="4.528 0.000 0.000 0.000 4.528 0.000 0.000 0.000 7.232" Properties=species:S:1:pos:R:3 pbc="T T T"
Sr 1.132 1.132 1.366
Sr 3.396 3.396 5.866
Co 1.132 3.396 3.616
Co 3.396 1.132 3.616
Sb 1.132 1.132 4.937
Sb 3.396 3.396 2.295
```

***

No. 18
ZnBr | PBE-GGA | relaxed

## Properties
Total DFT energy (no corrections) = -1.954 eV per atom
Crystal system = orthorhombic
Energy relative to the elements, uncorrected = -0.48 eV per atom
D(E_F) = 3.46 states/eV per cell

```
12
Lattice="4.130 0.000 0.000 0.000 15.437 0.000 0.000 0.000 5.719" Properties=species:S:1:pos:R:3 pbc="T T T"
Zn 1.032 0.327 0.570
Zn 1.032 3.859 1.391
Zn 1.032 7.391 0.570
Zn 3.097 8.046 5.149
Zn 3.097 11.577 4.327
Zn 3.097 15.109 5.149
Br 1.032 1.799 2.672
Br 1.032 5.919 2.672
Br 1.032 11.577 0.043
Br 3.097 3.859 5.676
Br 3.097 9.517 3.047
Br 3.097 13.638 3.047
```

***

No. 19
ScCrPb2 | PBE-GGA | relaxed

## Properties
Total DFT energy (no corrections) = -5.741 eV per atom
Crystal system = orthorhombic
Relative energy among the computed polymorphs = 0.0 meV per atom
D(E_F) = 6.24 states/eV per cell

```
8
Lattice="4.260 0.000 0.000 0.000 4.272 0.000 0.000 0.000 10.175" Properties=species:S:1:pos:R:3 pbc="T T T"
Sc 0.000 0.000 0.000
Sc 2.130 2.136 5.088
Cr 0.000 2.136 7.624
Cr 2.130 0.000 2.536
Pb 0.000 0.000 5.088
Pb 0.000 2.136 2.543
Pb 2.130 0.000 7.631
Pb 2.130 2.136 0.000
```

***

No. 20
TcMo2PPb | PBE-GGA | relaxed

## Properties
Total DFT energy (no corrections) = -6.666 eV per atom
Crystal system = tetragonal
D(E_F) = 4.30 states/eV per cell

```
5
Lattice="4.766 0.000 0.000 0.000 4.766 0.000 0.000 0.000 5.166" Properties=species:S:1:pos:R:3 pbc="T T T"
Tc 0.000 0.000 0.000
Mo 0.000 2.383 0.000
Mo 2.383 0.000 0.000
P 2.383 2.383 2.583
Pb 0.000 0.000 2.583
```